First-principles (PBEsol) data for crystalline ScAgW2 at its relaxed geometry, as listed in the Alexandria database.

Cell: 3.263 4.332 4.730 Å, 90.00 90.00 90.00°
Positions (direct):
Ag1 0.500 0.000 0.500
Sc1 0.000 0.500 0.500
W1 0.000 0.000 0.000
W2 0.500 0.500 0.000

Properties
Energy relative to the elements = 0.302 eV per atom
Calculated density = 12.93 Mg/m³
Space group = No. 47
Total magnetic moment = 0.00 μB per cell
Energy above the lowest structure with this stoichiometry = 0 meV per atom